Record 1
Below is a relaxed structure of Pm2NdHoTm5, with properties calculated at the PBE level.

Structure (POSCAR):
```
Pm2NdHoTm5
1.0
-4.3463 4.3463 7.6195
4.3463 -4.3463 7.6195
4.3463 4.3463 -7.6195
Pm Nd Ho Tm
4 2 2 10
Direct
0.1159 0.6159 0.7319
0.3841 0.1159 0.5000
0.6159 0.8841 0.5000
0.8841 0.3841 0.2681
0.2500 0.2500 0.0000
0.7500 0.7500 0.0000
0.2500 0.7500 0.5000
0.7500 0.2500 0.5000
0.0000 0.0000 0.0000
0.0729 0.1528 0.5000
0.1528 0.6528 0.0799
0.3472 0.4271 0.5000
0.4271 0.9271 0.0799
0.5000 0.5000 0.0000
0.5729 0.0729 0.9201
0.6528 0.5729 0.5000
0.8472 0.3472 0.9201
0.9271 0.8472 0.5000
```

Summary:
Fermi-level density of states = 19.9 states/eV per cell
formation energy = 231 kJ/mol of formula units
calculated total energy = -77.6 eV for the cell shown
symmetry = No. 140
total magnetization = 0.0000 μB/atom

Record 2
Below is a relaxed structure of Pm3Nd2Ho6Tm, with properties calculated at the PBE level.

Structure (POSCAR):
```
Pm3Nd2Ho6Tm
1.0
3.1019 -5.3709 0.0000
3.1019 5.3709 0.0000
-2.0614 0.0000 11.6293
Pm Nd Ho Tm
3 2 6 1
Direct
0.0000 0.0000 0.0000
0.3332 0.6668 0.0000
0.6668 0.3332 0.0000
0.1663 0.8337 0.5000
0.8337 0.1663 0.5000
0.0843 0.4169 0.2508
0.2509 0.2509 0.7496
0.4169 0.0843 0.2508
0.5831 0.9157 0.7492
0.7491 0.7491 0.2504
0.9157 0.5831 0.7492
0.5000 0.5000 0.5000
```

Summary:
Fermi-level density of states = 14.4 states/eV per cell
formation energy = 17 kJ/mol of formula units
calculated total energy = -55.5 eV for the cell shown
symmetry = No. 12
total magnetization = 0.0000 μB/atom

Record 3
Below is a relaxed structure of Pm2NdHo2Tm2, with properties calculated at the PBE level.

Structure (POSCAR):
```
Pm2NdHo2Tm2
1.0
12.4339 0.0000 0.0000
0.0000 5.9389 0.0000
-1.2082 0.0000 6.1459
Pm Nd Ho Tm
4 2 4 4
Direct
0.0776 0.0000 0.2875
0.4224 0.5000 0.7125
0.5776 0.5000 0.2875
0.9224 0.0000 0.7125
0.0000 0.5000 0.0000
0.5000 0.0000 0.0000
0.1422 0.5000 0.5767
0.3578 0.0000 0.4233
0.6422 0.0000 0.5767
0.8578 0.5000 0.4233
0.2159 0.0000 0.8520
0.2841 0.5000 0.1480
0.7159 0.5000 0.8520
0.7841 0.0000 0.1480
```

Summary:
Fermi-level density of states = 29.6 states/eV per cell
formation energy = 85 kJ/mol of formula units
calculated total energy = -63.0 eV for the cell shown
symmetry = No. 12
total magnetization = 0.0000 μB/atom

Record 4
Below is a relaxed structure of PmNd3HoTm, with properties calculated at the PBE level.

Structure (POSCAR):
```
PmNd3HoTm
1.0
2.5458 -7.6777 0.0000
2.5458 7.6777 0.0000
0.0000 0.0000 10.2686
Pm Nd Ho Tm
2 6 2 2
Direct
0.0019 0.9981 0.7500
0.9981 0.0019 0.2500
0.1653 0.8347 0.5007
0.1653 0.8347 0.9993
0.3331 0.6669 0.7500
0.6669 0.3331 0.2500
0.8347 0.1653 0.0007
0.8347 0.1653 0.4993
0.5000 0.5000 0.0000
0.5000 0.5000 0.5000
0.3338 0.6662 0.2500
0.6662 0.3338 0.7500
```

Summary:
Fermi-level density of states = 17.2 states/eV per cell
formation energy = 10 kJ/mol of formula units
calculated total energy = -56.0 eV for the cell shown
symmetry = No. 63
total magnetization = 0.0000 μB/atom

Record 5
Below is a relaxed structure of Pm2NdHo5Tm, with properties calculated at the PBE level.

Structure (POSCAR):
```
Pm2NdHo5Tm
1.0
-4.3644 4.3644 7.6711
4.3644 -4.3644 7.6711
4.3644 4.3644 -7.6711
Pm Nd Ho Tm
4 2 10 2
Direct
0.1162 0.6162 0.7323
0.3838 0.1162 0.5000
0.6162 0.8838 0.5000
0.8838 0.3838 0.2677
0.2500 0.2500 0.0000
0.7500 0.7500 0.0000
0.0000 0.0000 0.0000
0.0724 0.1529 0.5000
0.1529 0.6529 0.0805
0.3471 0.4276 0.5000
0.4276 0.9276 0.0805
0.5000 0.5000 0.0000
0.5724 0.0724 0.9195
0.6529 0.5724 0.5000
0.8471 0.3471 0.9195
0.9276 0.8471 0.5000
0.2500 0.7500 0.5000
0.7500 0.2500 0.5000
```

Summary:
Fermi-level density of states = 21.1 states/eV per cell
formation energy = 236 kJ/mol of formula units
calculated total energy = -78.4 eV for the cell shown
symmetry = No. 140
total magnetization = 0.0000 μB/atom

Record 6
Below is a relaxed structure of Pm4NdHoTm2, with properties calculated at the PBE level.

Structure (POSCAR):
```
Pm4NdHoTm2
1.0
6.2222 0.0000 0.0000
0.0000 3.6089 0.0000
-2.0964 0.0000 11.6948
Pm Nd Ho Tm
4 1 1 2
Direct
0.2484 0.0000 0.2462
0.2495 0.5000 0.7508
0.7505 0.5000 0.2492
0.7516 0.0000 0.7538
0.5000 0.5000 0.5000
0.5000 0.0000 0.0000
0.0000 0.0000 0.5000
0.0000 0.5000 0.0000
```

Summary:
Fermi-level density of states = 10.7 states/eV per cell
formation energy = 14 kJ/mol of formula units
calculated total energy = -37.1 eV for the cell shown
symmetry = No. 10
total magnetization = 0.0000 μB/atom

Record 7
Below is a relaxed structure of PmNdHoTm3, with properties calculated at the PBE level.

Structure (POSCAR):
```
PmNdHoTm3
1.0
2.9109 -5.6537 0.0000
2.9109 5.6537 0.0000
0.0000 0.0000 11.6558
Pm Nd Ho Tm
2 2 2 6
Direct
0.0031 0.9969 0.7500
0.9969 0.0031 0.2500
0.5000 0.5000 0.0000
0.5000 0.5000 0.5000
0.3250 0.6750 0.7500
0.6750 0.3250 0.2500
0.1724 0.8276 0.0030
0.1724 0.8276 0.4970
0.3288 0.6712 0.2500
0.6712 0.3288 0.7500
0.8276 0.1724 0.5030
0.8276 0.1724 0.9970
```

Summary:
Fermi-level density of states = 24.7 states/eV per cell
formation energy = 66 kJ/mol of formula units
calculated total energy = -53.7 eV for the cell shown
symmetry = No. 63
total magnetization = 0.0000 μB/atom

Record 8
Below is a relaxed structure of Pm5Nd2HoTm, with properties calculated at the PBE level.

Structure (POSCAR):
```
Pm5Nd2HoTm
1.0
-4.2907 4.2907 8.3458
4.2907 -4.2907 8.3458
4.2907 4.2907 -8.3458
Pm Nd Ho Tm
10 4 2 2
Direct
0.0000 0.0000 0.0000
0.0749 0.5749 0.9366
0.1382 0.0749 0.5000
0.3618 0.8618 0.9366
0.4251 0.3618 0.5000
0.5000 0.5000 0.0000
0.5749 0.6382 0.5000
0.6382 0.1382 0.0634
0.8618 0.9251 0.5000
0.9251 0.4251 0.0634
0.1217 0.3783 0.5000
0.3783 0.8783 0.2567
0.6217 0.1217 0.7433
0.8783 0.6217 0.5000
0.2500 0.2500 0.0000
0.7500 0.7500 0.0000
0.2500 0.7500 0.5000
0.7500 0.2500 0.5000
```

Summary:
Fermi-level density of states = 26.5 states/eV per cell
formation energy = 240 kJ/mol of formula units
calculated total energy = -79.7 eV for the cell shown
symmetry = No. 140
total magnetization = 0.0000 μB/atom

Record 9
Below is a relaxed structure of Pm2NdHo2Tm, with properties calculated at the PBE level.

Structure (POSCAR):
```
Pm2NdHo2Tm
1.0
7.0263 0.0000 0.0000
0.0000 5.6615 0.0000
0.0000 0.0000 9.8024
Pm Nd Ho Tm
4 2 4 2
Direct
0.0000 0.0000 0.0000
0.2500 0.5000 0.1779
0.5000 0.0000 0.0000
0.7500 0.5000 0.8221
0.2500 0.0000 0.6552
0.7500 0.0000 0.3448
0.2500 0.0000 0.3279
0.2500 0.5000 0.8372
0.7500 0.0000 0.6721
0.7500 0.5000 0.1628
0.0000 0.5000 0.5000
0.5000 0.5000 0.5000
```

Summary:
Fermi-level density of states = 18.7 states/eV per cell
formation energy = 37 kJ/mol of formula units
calculated total energy = -55.0 eV for the cell shown
symmetry = No. 51
total magnetization = 0.0000 μB/atom

Record 10
Below is a relaxed structure of PmNd2HoTm2, with properties calculated at the PBE level.

Structure (POSCAR):
```
PmNd2HoTm2
1.0
7.0381 0.0000 0.0000
0.0000 9.8111 0.0000
0.0000 0.0000 5.6535
Pm Nd Ho Tm
2 4 2 4
Direct
0.0000 0.0000 0.0000
0.5000 0.5000 0.5000
0.2479 0.3329 0.0000
0.2521 0.8329 0.5000
0.7479 0.1671 0.5000
0.7521 0.6671 0.0000
0.0000 0.5000 0.5000
0.5000 0.0000 0.0000
0.2498 0.1662 0.5000
0.2502 0.6662 0.0000
0.7498 0.3338 0.0000
0.7502 0.8338 0.5000
```

Summary:
Fermi-level density of states = 19.6 states/eV per cell
formation energy = 39 kJ/mol of formula units
calculated total energy = -54.8 eV for the cell shown
symmetry = No. 58
total magnetization = 0.0000 μB/atom

Record 11
Below is a relaxed structure of PmNdHoTm, with properties calculated at the PBE level.

Structure (POSCAR):
```
PmNdHoTm
1.0
12.4279 0.0000 0.0000
0.0000 5.8684 0.0000
-1.1096 0.0000 3.6042
Pm Nd Ho Tm
2 2 2 2
Direct
0.0000 0.0000 0.0000
0.5000 0.5000 0.0000
0.2678 0.0000 0.8222
0.7678 0.5000 0.8222
0.0206 0.5000 0.5341
0.5206 0.0000 0.5341
0.2566 0.5000 0.2884
0.7566 0.0000 0.2884
```

Summary:
Fermi-level density of states = 14.3 states/eV per cell
formation energy = 42 kJ/mol of formula units
calculated total energy = -36.3 eV for the cell shown
symmetry = No. 8
total magnetization = 0.0000 μB/atom

Record 12
Below is a relaxed structure of Pm4NdHo2Tm, with properties calculated at the PBE level.

Structure (POSCAR):
```
Pm4NdHo2Tm
1.0
6.2321 0.0000 0.0000
0.0000 3.6125 0.0000
-2.0970 0.0000 11.7153
Pm Nd Ho Tm
4 1 2 1
Direct
0.2482 0.0000 0.2467
0.2508 0.5000 0.7522
0.7492 0.5000 0.2478
0.7518 0.0000 0.7533
0.5000 0.5000 0.5000
0.0000 0.0000 0.5000
0.0000 0.5000 0.0000
0.5000 0.0000 0.0000
```

Summary:
Fermi-level density of states = 10.9 states/eV per cell
formation energy = 14 kJ/mol of formula units
calculated total energy = -37.3 eV for the cell shown
symmetry = No. 10
total magnetization = 0.0000 μB/atom

Record 13
Below is a relaxed structure of Pm2NdHo6Tm, with properties calculated at the PBE level.

Structure (POSCAR):
```
Pm2NdHo6Tm
1.0
4.5175 -7.5085 0.0000
4.5175 7.5085 0.0000
-1.4004 0.0000 9.5390
Pm Nd Ho Tm
4 2 12 2
Direct
0.1965 0.2994 0.0439
0.2994 0.1965 0.5439
0.7006 0.8035 0.4561
0.8035 0.7006 0.9561
0.0195 0.9805 0.2500
0.9805 0.0195 0.7500
0.0189 0.5707 0.1859
0.1240 0.7427 0.5575
0.2573 0.8760 0.9425
0.2941 0.5077 0.3813
0.4293 0.9811 0.3141
0.4923 0.7059 0.1187
0.5077 0.2941 0.8813
0.5707 0.0189 0.6859
0.7059 0.4923 0.6187
0.7427 0.1240 0.0575
0.8760 0.2573 0.4425
0.9811 0.4293 0.8141
0.4079 0.5921 0.7500
0.5921 0.4079 0.2500
```

Summary:
Fermi-level density of states = 27.3 states/eV per cell
formation energy = 112 kJ/mol of formula units
calculated total energy = -90.1 eV for the cell shown
symmetry = No. 15
total magnetization = 0.0000 μB/atom

Record 14
Below is a relaxed structure of PmNdHo2Tm2, with properties calculated at the PBE level.

Structure (POSCAR):
```
PmNdHo2Tm2
1.0
6.9088 0.0000 0.0000
0.0000 9.7901 0.0000
0.0000 0.0000 5.6462
Pm Nd Ho Tm
2 2 4 4
Direct
0.0000 0.0000 0.0000
0.5000 0.5000 0.5000
0.0000 0.5000 0.5000
0.5000 0.0000 0.0000
0.2496 0.1668 0.5000
0.2504 0.6668 0.0000
0.7496 0.3332 0.0000
0.7504 0.8332 0.5000
0.2500 0.3338 0.0000
0.2500 0.8338 0.5000
0.7500 0.1662 0.5000
0.7500 0.6662 0.0000
```

Summary:
Fermi-level density of states = 18.5 states/eV per cell
formation energy = 44 kJ/mol of formula units
calculated total energy = -54.3 eV for the cell shown
symmetry = No. 58
total magnetization = 0.0000 μB/atom

Record 15
Below is a relaxed structure of PmNd2Ho3Tm6, with properties calculated at the PBE level.

Structure (POSCAR):
```
PmNd2Ho3Tm6
1.0
3.0735 -5.3191 0.0000
3.0735 5.3191 0.0000
-2.0447 0.0000 11.4963
Pm Nd Ho Tm
1 2 3 6
Direct
0.0000 0.0000 0.0000
0.3333 0.6667 0.0000
0.6667 0.3333 0.0000
0.1666 0.8334 0.5000
0.5000 0.5000 0.5000
0.8334 0.1666 0.5000
0.0852 0.4184 0.2536
0.2480 0.2480 0.7464
0.4184 0.0852 0.2536
0.5816 0.9148 0.7464
0.7520 0.7520 0.2536
0.9148 0.5816 0.7464
```

Summary:
Fermi-level density of states = 15.8 states/eV per cell
formation energy = 27 kJ/mol of formula units
calculated total energy = -54.6 eV for the cell shown
symmetry = No. 12
total magnetization = 0.0000 μB/atom

Record 16
Below is a relaxed structure of Pm6Nd3Ho2Tm, with properties calculated at the PBE level.

Structure (POSCAR):
```
Pm6Nd3Ho2Tm
1.0
3.1426 -5.4438 0.0000
3.1426 5.4438 0.0000
-2.0948 0.0000 11.7930
Pm Nd Ho Tm
6 3 2 1
Direct
0.0848 0.4178 0.7549
0.2492 0.2492 0.2453
0.4178 0.0848 0.7549
0.5822 0.9152 0.2451
0.7508 0.7508 0.7547
0.9152 0.5822 0.2451
0.0000 0.0000 0.5000
0.3334 0.6666 0.5000
0.6666 0.3334 0.5000
0.1667 0.8333 0.0000
0.8333 0.1667 0.0000
0.5000 0.5000 0.0000
```

Summary:
Fermi-level density of states = 16.2 states/eV per cell
formation energy = 19 kJ/mol of formula units
calculated total energy = -56.2 eV for the cell shown
symmetry = No. 12
total magnetization = 0.0000 μB/atom

Record 17
Below is a relaxed structure of PmNd2Y5Ho, with properties calculated at the PBE level.

Structure (POSCAR):
```
PmNd2Y5Ho
1.0
-4.3765 4.3765 7.8031
4.3765 -4.3765 7.8031
4.3765 4.3765 -7.8031
Pm Nd Y Ho
2 4 10 2
Direct
0.2500 0.2500 0.0000
0.7500 0.7500 0.0000
0.1169 0.6169 0.7338
0.3831 0.1169 0.5000
0.6169 0.8831 0.5000
0.8831 0.3831 0.2662
0.0000 0.0000 0.0000
0.0718 0.1525 0.5000
0.1525 0.6525 0.0807
0.3475 0.4282 0.5000
0.4282 0.9282 0.0807
0.5000 0.5000 0.0000
0.5718 0.0718 0.9193
0.6525 0.5718 0.5000
0.8475 0.3475 0.9193
0.9282 0.8475 0.5000
0.2500 0.7500 0.5000
0.7500 0.2500 0.5000
```

Summary:
Fermi-level density of states = 21.5 states/eV per cell
formation energy = 219 kJ/mol of formula units
calculated total energy = -97.8 eV for the cell shown
symmetry = No. 140
total magnetization = 0.0000 μB/atom

Record 18
Below is a relaxed structure of PmNdYHo, with properties calculated at the PBE level.

Structure (POSCAR):
```
PmNdYHo
1.0
5.1129 0.0000 0.0000
0.0000 5.1129 0.0000
0.0000 0.0000 10.1635
Pm Nd Y Ho
2 2 2 2
Direct
0.0000 0.0000 0.0000
0.5000 0.5000 0.5000
0.0000 0.5000 0.2500
0.5000 0.0000 0.7500
0.0000 0.0000 0.5000
0.5000 0.5000 0.0000
0.0000 0.5000 0.7500
0.5000 0.0000 0.2500
```

Summary:
excess energy over the best structure of this formula in the dataset = 0.0 meV per atom
Fermi-level density of states = 11.5 states/eV per cell
formation energy = 7 kJ/mol of formula units
calculated total energy = -41.0 eV for the cell shown
symmetry = No. 119
total magnetization = 0.0000 μB/atom

Record 19
Below is a relaxed structure of Pm3NdYHo, with properties calculated at the PBE level.

Structure (POSCAR):
```
Pm3NdYHo
1.0
2.5602 -7.7019 0.0000
2.5602 7.7019 0.0000
0.0000 0.0000 10.2218
Pm Nd Y Ho
6 2 2 2
Direct
0.1665 0.8335 0.0000
0.1665 0.8335 0.5000
0.3337 0.6663 0.7500
0.6663 0.3337 0.2500
0.8335 0.1665 0.0000
0.8335 0.1665 0.5000
0.5000 0.5000 0.0000
0.5000 0.5000 0.5000
0.3342 0.6658 0.2500
0.6658 0.3342 0.7500
0.9995 0.0005 0.2500
0.0005 0.9995 0.7500
```

Summary:
Fermi-level density of states = 17.3 states/eV per cell
formation energy = 9 kJ/mol of formula units
calculated total energy = -59.9 eV for the cell shown
symmetry = No. 63
total magnetization = 0.0000 μB/atom

Record 20
Below is a relaxed structure of Pm2NdY2Ho2, with properties calculated at the PBE level.

Structure (POSCAR):
```
Pm2NdY2Ho2
1.0
11.3467 0.0000 0.0000
0.0000 5.0882 0.0000
-1.1450 0.0000 7.9735
Pm Nd Y Ho
4 2 4 4
Direct
0.1420 0.0000 0.4289
0.3580 0.5000 0.5711
0.6420 0.5000 0.4289
0.8580 0.0000 0.5711
0.0000 0.0000 0.0000
0.5000 0.5000 0.0000
0.2145 0.5000 0.1424
0.2855 0.0000 0.8576
0.7145 0.0000 0.1424
0.7855 0.5000 0.8576
0.0715 0.5000 0.7138
0.4285 0.0000 0.2862
0.5715 0.0000 0.7138
0.9285 0.5000 0.2862
```

Summary:
Fermi-level density of states = 19.5 states/eV per cell
formation energy = 12 kJ/mol of formula units
calculated total energy = -72.5 eV for the cell shown
symmetry = No. 12
total magnetization = 0.0000 μB/atom